Entry 1:
GGA-PBE Ba4MgMo, optimized geometry; DFT formation energy = 6.2 eV/f.u.; magnetization = 2.98 μB per formula unit; calculated total energy = -13.95 eV/cell
1.0
0.0000 5.1462 5.1462
5.1462 0.0000 5.1462
5.1462 5.1462 0.0000
Ba Mg Mo
4 1 1
direct
0.1252 0.1252 0.1252
0.1252 0.1252 0.6244
0.1252 0.6244 0.1252
0.6244 0.1252 0.1252
0.7500 0.7500 0.7500
0.5000 0.5000 0.5000

Entry 2:
GGA-PBE UNbSe2, optimized geometry; magnetization = 2.21 μB per formula unit; calculated total energy = -28.87 eV/cell; raw formation energy = -137 meV/atom
1.0
1.7100 0.9873 9.1794
-1.7100 0.9873 9.1794
0.0000 -1.9746 9.1794
U Nb Se
1 1 2
direct
0.0000 0.0000 0.0000
0.5000 0.5000 0.5000
0.4081 0.4081 0.4081
0.5919 0.5919 0.5919

Entry 3:
GGA-PBE Ti2GeN, optimized geometry; magnetization = 0.00 μB per formula unit; calculated total energy = -63.49 eV/cell; raw formation energy = -753 meV/atom
1.0
-3.0248 3.0248 3.2187
3.0248 -3.0248 3.2187
3.0248 3.0248 -3.2187
Ti Ge N
4 2 2
direct
0.0349 0.6250 0.9099
0.3750 0.2849 0.4099
0.7151 0.1250 0.0901
0.8750 0.9651 0.5901
0.2500 0.7500 0.5000
0.5000 0.5000 0.0000
0.0000 0.0000 0.0000
0.7500 0.2500 0.5000